Mg7Zn2 | PBE-GGA | relaxed

```
data_Mg7Zn2
_space_group_name_H-M_alt 'P 1'
_space_group_IT_number 1
_cell_length_a 4.9057
_cell_length_b 4.9057
_cell_length_c 8.9607
_cell_angle_alpha 90.00
_cell_angle_beta 90.00
_cell_angle_gamma 120.00
loop_
_space_group_symop_operation_xyz
'x,y,z'
loop_
_atom_site_label
_atom_site_fract_x
_atom_site_fract_y
_atom_site_fract_z
Mg1 0.0000 0.0000 0.3317
Mg2 0.3333 0.6667 0.5462
Zn1 0.6667 0.3333 0.1393
Mg3 0.6667 0.3333 0.4538
Zn2 0.3333 0.6667 0.8607
Mg4 0.6667 0.3333 0.8164
Mg5 0.0000 0.0000 0.0000
Mg6 0.0000 0.0000 0.6683
Mg7 0.3333 0.6667 0.1836
```

Summary:
ΔE_f = -0.005 eV per atom
D(E_F) = 4.1 states/eV/cell
Space-group type = P-3m1, No. 164
Total DFT energy (no corrections) = -0.11232 Ry/atom

MgZn | PBE-GGA | relaxed

```
data_MgZn
_space_group_name_H-M_alt 'P 1'
_space_group_IT_number 1
_cell_length_a 3.9381
_cell_length_b 3.9381
_cell_length_c 3.9381
_cell_angle_alpha 60.00
_cell_angle_beta 60.00
_cell_angle_gamma 60.00
loop_
_space_group_symop_operation_xyz
'x,y,z'
loop_
_atom_site_label
_atom_site_fract_x
_atom_site_fract_y
_atom_site_fract_z
Mg1 0.5000 0.5000 0.5000
Zn1 0.0000 0.0000 0.0000
```

Summary:
ΔE_f = 0.188 eV per atom
D(E_F) = 0.8 states/eV/cell
Space-group type = Fm-3m, No. 225
Total DFT energy (no corrections) = -0.09158 Ry/atom

Mg3Zn | PBE-GGA | relaxed

```
data_Mg3Zn
_space_group_name_H-M_alt 'P 1'
_space_group_IT_number 1
_cell_length_a 5.7861
_cell_length_b 5.7599
_cell_length_c 5.7405
_cell_angle_alpha 147.56
_cell_angle_beta 126.14
_cell_angle_gamma 64.26
loop_
_space_group_symop_operation_xyz
'x,y,z'
loop_
_atom_site_label
_atom_site_fract_x
_atom_site_fract_y
_atom_site_fract_z
Mg1 0.0879 0.7319 0.3542
Mg2 0.4630 0.5019 0.9643
Zn1 0.9941 0.9992 0.9942
Mg3 0.6217 0.2670 0.3540
```

Summary:
ΔE_f = -0.022 eV per atom
D(E_F) = 1.4 states/eV/cell
Space-group type = P1, No. 1
Total DFT energy (no corrections) = -0.11290 Ry/atom

Number 1 is which compound? Mg7Zn2